(1)
This record from Alexandria describes Na2AgH2 after structural relaxation. The functional is PBE-GGA.

abc: 7.307 7.307 2.844
angles: 90.00 90.00 90.00
Fractional coordinates of all 10 atoms:
1 Na 0.141 0.359 0.000
2 Na 0.359 0.859 0.000
3 Na 0.641 0.141 0.000
4 Na 0.859 0.641 0.000
5 Ag 0.000 0.000 0.000
6 Ag 0.500 0.500 0.000
7 H 0.144 0.644 0.500
8 H 0.356 0.144 0.500
9 H 0.644 0.856 0.500
10 H 0.856 0.356 0.500

Summary:
**D(E_F)**: 0.124 states/eV per atom
**Space group**: No. 127
**Energy above the lowest structure with this stoichiometry**: 0.138 eV/atom

---

(2)
This record from Alexandria describes Ac2TbSmSb4 after structural relaxation. The functional is PBE-GGA.

abc: 8.000 4.621 8.001
angles: 90.00 109.46 90.00
Fractional coordinates of all 8 atoms:
1 Ac 0.000 0.000 0.000
2 Ac 0.500 0.500 0.000
3 Tb 0.000 0.500 0.500
4 Sm 0.500 0.000 0.500
5 Sb 0.241 0.000 0.729
6 Sb 0.254 0.500 0.269
7 Sb 0.746 0.500 0.731
8 Sb 0.759 0.000 0.271

Summary:
**D(E_F)**: 0.129 states/eV per atom
**Space group**: No. 10
**Formation energy without anion corrections**: -1171 meV/atom

---

(3)
This record from Alexandria describes Er2Ge2HRu2 after structural relaxation. The functional is PBE-GGA.

abc: 7.494 7.494 7.494
angles: 148.15 148.15 45.66
Fractional coordinates of all 7 atoms:
1 Er 0.159 0.159 0.000
2 Er 0.841 0.841 0.000
3 Ge 0.385 0.385 0.000
4 Ge 0.615 0.615 0.000
5 H 0.000 0.000 0.000
6 Ru 0.000 0.500 0.500
7 Ru 0.500 0.000 0.500

Summary:
**D(E_F)**: 0.405 states/eV per atom
**Space group**: No. 139

---

(4)
This record from Alexandria describes Tb2YTmSc5 after structural relaxation. The functional is PBE-GGA.

abc: 9.232 9.232 9.232
angles: 126.23 126.23 79.52
Fractional coordinates of all 18 atoms:
1 Tb 0.119 0.619 0.737
2 Tb 0.381 0.119 0.500
3 Tb 0.619 0.881 0.500
4 Tb 0.881 0.381 0.263
5 Y 0.250 0.250 0.000
6 Y 0.750 0.750 0.000
7 Tm 0.250 0.750 0.500
8 Tm 0.750 0.250 0.500
9 Sc 0.000 0.000 0.000
10 Sc 0.072 0.158 0.500
11 Sc 0.158 0.658 0.086
12 Sc 0.342 0.428 0.500
13 Sc 0.428 0.928 0.086
14 Sc 0.500 0.500 0.000
15 Sc 0.572 0.072 0.914
16 Sc 0.658 0.572 0.500
17 Sc 0.842 0.342 0.914
18 Sc 0.928 0.842 0.500

Summary:
**D(E_F)**: 1.145 states/eV per atom
**Space group**: No. 140

---

(5)
This record from Alexandria describes CuAgOsCl6 after structural relaxation. The functional is PBE-GGA.

abc: 6.319 6.319 11.760
angles: 90.00 90.00 120.00
Fractional coordinates of all 18 atoms:
1 Cu 0.333 0.667 0.250
2 Cu 0.667 0.333 0.750
3 Ag 0.000 0.000 0.000
4 Ag 0.000 0.000 0.500
5 Os 0.333 0.667 0.750
6 Os 0.667 0.333 0.250
7 Cl 0.016 0.368 0.637
8 Cl 0.016 0.648 0.863
9 Cl 0.352 0.368 0.863
10 Cl 0.352 0.984 0.637
11 Cl 0.368 0.016 0.137
12 Cl 0.368 0.352 0.363
13 Cl 0.632 0.648 0.637
14 Cl 0.632 0.984 0.863
15 Cl 0.648 0.016 0.363
16 Cl 0.648 0.632 0.137
17 Cl 0.984 0.352 0.137
18 Cl 0.984 0.632 0.363

Summary:
**D(E_F)**: 0.502 states/eV per atom
**Space group**: No. 163
**Formation energy without anion corrections**: -404 meV/atom

---

(6)
This record from Alexandria describes Sm2Hg2Te after structural relaxation. The functional is PBE-GGA.

abc: 7.163 7.163 7.163
angles: 40.14 40.14 40.14
Fractional coordinates of all 5 atoms:
1 Sm 0.092 0.092 0.092
2 Sm 0.908 0.908 0.908
3 Hg 0.320 0.320 0.320
4 Hg 0.680 0.680 0.680
5 Te 0.500 0.500 0.500

Summary:
**D(E_F)**: 0.437 states/eV per atom
**Space group**: No. 166
**Formation energy without anion corrections**: -762 meV/atom

---

(7)
This record from Alexandria describes CePr2Tl2 after structural relaxation. The functional is PBE-GGA.

abc: 5.282 5.282 12.946
angles: 90.00 90.00 120.00
Fractional coordinates of all 10 atoms:
1 Ce 0.000 0.000 0.250
2 Ce 0.000 0.000 0.750
3 Pr 0.000 0.000 0.000
4 Pr 0.000 0.000 0.500
5 Pr 0.333 0.667 0.250
6 Pr 0.667 0.333 0.750
7 Tl 0.333 0.667 0.626
8 Tl 0.333 0.667 0.874
9 Tl 0.667 0.333 0.126
10 Tl 0.667 0.333 0.374

Summary:
**D(E_F)**: 1.249 states/eV per atom
**Space group**: No. 194
**Energy above the lowest structure with this stoichiometry**: 0.145 eV/atom

---

(8)
This record from Alexandria describes TbPuTe3 after structural relaxation. The functional is PBE-GGA.

abc: 7.995 7.995 7.995
angles: 135.89 90.82 105.52
Fractional coordinates of all 10 atoms:
1 Tb 0.000 0.000 0.000
2 Tb 0.500 0.000 0.500
3 Pu 0.305 0.555 0.750
4 Pu 0.695 0.445 0.250
5 Te 0.125 0.664 0.460
6 Te 0.296 0.336 0.960
7 Te 0.359 0.109 0.250
8 Te 0.641 0.891 0.750
9 Te 0.704 0.664 0.040
10 Te 0.875 0.336 0.540

Summary:
**D(E_F)**: 2.445 states/eV per atom
**Space group**: No. 74
**Formation energy without anion corrections**: -1039 meV/atom

---

What did we get for energy? Answer: -2.1813, -5.4282, -6.4335, -5.4793, -3.6550, -3.3991, -4.1289, -6.7160 eV per atom, in the order shown.